First-principles (PBE) data for an optimized crystal structure of Ce3Tc2Ge7, as listed in the Alexandria database.

Structure (POSCAR):
```
Ce3Tc2Ge7
1.0
4.3329 0.0000 0.0000
0.0000 4.3654 -0.0050
0.0000 -2.1814 13.0639
Ge Ce Tc
7 3 2
Direct
0.5000 0.2793 0.5576
0.5000 0.0845 0.1680
0.0000 0.4163 0.8326
0.0000 0.5837 0.1674
0.5000 0.9155 0.8320
0.5000 0.7207 0.4424
0.0000 0.0000 0.0000
0.0000 0.8184 0.6347
0.5000 0.5000 0.0000
0.0000 0.1816 0.3653
0.5000 0.6285 0.2551
0.5000 0.3715 0.7449
```

Output
ρ: 7.56 g/cm³
Space group: P2/m, No. 10
DFT formation energy: -520 meV/atom

---

First-principles (PBE) data for an optimized crystal structure of Ce2TcGe, as listed in the Alexandria database.

Structure (POSCAR):
```
Ce2TcGe
1.0
-2.6896 2.6659 0.5880
-1.6968 -2.8237 5.0409
6.0683 5.7465 1.7042
Ce Ge Tc
4 2 2
Direct
0.7500 0.2212 0.4528
0.2500 0.7788 0.5472
0.7500 0.6888 0.9043
0.2500 0.3112 0.0957
0.2500 0.8571 0.2060
0.7500 0.1429 0.7940
0.2500 0.3921 0.7098
0.7500 0.6079 0.2902
```

Output
ρ: 8.12 g/cm³
Space group: P2_1/m, No. 11
DFT formation energy: -404 meV/atom

---

First-principles (PBE) data for an optimized crystal structure of Ce3Tc4Ge4, as listed in the Alexandria database.

Structure (POSCAR):
```
Ce3Tc4Ge4
1.0
4.3169 0.0000 0.0000
-2.1584 5.7716 0.0000
0.0000 0.0000 8.9501
Tc Ge Ce
4 4 3
Direct
0.5714 0.1428 0.0000
0.6102 0.2204 0.5000
0.0902 0.1804 0.7543
0.0902 0.1804 0.2457
0.7011 0.4022 0.7588
0.9618 0.9235 0.0000
0.9968 0.9935 0.5000
0.7011 0.4022 0.2412
0.4157 0.8315 0.7189
0.4157 0.8315 0.2811
0.2442 0.4884 0.0000
```

Output
ρ: 8.21 g/cm³
Space group: Amm2, No. 38
DFT formation energy: -354 meV/atom

---

First-principles (PBE) data for an optimized crystal structure of Ce3Tc2Ge6, as listed in the Alexandria database.

Structure (POSCAR):
```
Ce3Tc2Ge6
1.0
4.4932 0.0000 0.0000
0.0000 4.4932 0.0000
-2.2466 -2.2466 12.6646
Ce Ge Tc
3 6 2
Direct
0.8257 0.8257 0.6513
0.0000 0.0000 0.0000
0.1743 0.1743 0.3487
0.9187 0.4187 0.8375
0.5813 0.0813 0.1625
0.7118 0.7118 0.4235
0.2882 0.2882 0.5765
0.0813 0.5813 0.1625
0.4187 0.9187 0.8375
0.6184 0.6184 0.2367
0.3816 0.3816 0.7633
```

Output
ρ: 6.83 g/cm³
Space group: I4/mmm, No. 139
DFT formation energy: -344 meV/atom

---

First-principles (PBE) data for an optimized crystal structure of CeTc3Ge3, as listed in the Alexandria database.

Structure (POSCAR):
```
CeTc3Ge3
1.0
6.7868 0.0000 0.0000
0.0000 6.7868 0.0000
0.0000 0.0000 6.7868
Tc Ce Ge
6 2 6
Direct
0.5000 0.7500 0.0000
0.7500 0.0000 0.5000
0.5000 0.2500 0.0000
0.0000 0.5000 0.2500
0.0000 0.5000 0.7500
0.2500 0.0000 0.5000
0.5000 0.5000 0.5000
0.0000 0.0000 0.0000
0.5000 0.0000 0.7500
0.0000 0.2500 0.5000
0.2500 0.5000 0.0000
0.0000 0.7500 0.5000
0.5000 0.0000 0.2500
0.7500 0.5000 0.0000
```

Output
ρ: 6.93 g/cm³
Space group: Pm-3n, No. 223
DFT formation energy: 367 meV/atom

---

First-principles (PBE) data for an optimized crystal structure of Ce3TcGe3, as listed in the Alexandria database.

Structure (POSCAR):
```
Ce3TcGe3
1.0
-1.3299 3.0486 4.7696
-7.8766 -3.1928 -0.1555
6.1357 -4.0296 4.2865
Ge Ce Tc
6 6 2
Direct
0.2500 0.3517 0.0807
0.7500 0.0807 0.7290
0.7500 0.6483 0.9193
0.2500 0.9193 0.2710
0.2500 0.7290 0.6483
0.7500 0.2710 0.3517
0.2500 0.3161 0.4130
0.7500 0.4130 0.0969
0.2500 0.5870 0.9031
0.7500 0.9031 0.3161
0.7500 0.6839 0.5870
0.2500 0.0969 0.6839
0.7500 0.3333 0.6667
0.2500 0.6667 0.3333
```

Output
ρ: 6.72 g/cm³
Space group: P6_3/m, No. 176
DFT formation energy: -309 meV/atom

---

First-principles (PBE) data for an optimized crystal structure of CeThTcGe, as listed in the Alexandria database.

Structure (POSCAR):
```
CeThTcGe
1.0
-0.0211 0.5744 -4.4920
3.4264 -0.9825 -0.1417
-3.3131 -5.3117 1.6191
Tc Ge Th Ce
1 1 1 1
Direct
0.8394 0.3394 0.6788
0.6753 0.6753 0.3506
0.3706 0.8706 0.7412
0.0938 0.0938 0.1877
```

Output
ρ: 9.64 g/cm³
Space group: Imm2, No. 44
DFT formation energy: -331 meV/atom

---

First-principles (PBE) data for an optimized crystal structure of Ce2Th2TcGe4, as listed in the Alexandria database.

Structure (POSCAR):
```
Ce2Th2TcGe4
1.0
6.4753 0.4077 0.5885
-2.7506 5.8763 -0.5885
-2.7506 -2.6155 5.2949
Th Ge Ce Tc
2 4 2 1
Direct
0.5000 0.2500 0.7500
0.5000 0.7500 0.2500
0.4940 0.2470 0.2470
0.0000 0.2470 0.7530
0.0000 0.7530 0.2470
0.5060 0.7530 0.7530
0.0000 0.6893 0.6893
0.0000 0.3107 0.3107
0.0000 0.0000 0.0000
```

Output
ρ: 8.88 g/cm³
Space group: I4/mmm, No. 139
DFT formation energy: -434 meV/atom

---

First-principles (PBE) data for an optimized crystal structure of Ce2ThTcGe2, as listed in the Alexandria database.

Structure (POSCAR):
```
Ce2ThTcGe2
1.0
5.7162 0.0000 0.0000
0.0000 5.7162 0.0000
-2.8581 -2.8581 5.2688
Ge Ce Th Tc
2 2 1 1
Direct
0.2280 0.2280 0.4560
0.7720 0.7720 0.5440
0.7500 0.2500 0.5000
0.2500 0.7500 0.5000
0.5000 0.5000 0.0000
0.0000 0.0000 0.0000
```

Output
ρ: 7.29 g/cm³
Space group: I4/mmm, No. 139
DFT formation energy: 172 meV/atom

---

First-principles (PBE) data for an optimized crystal structure of Ce6GeTe5, as listed in the Alexandria database.

Structure (POSCAR):
```
Ce6GeTe5
1.0
-2.0157 -1.4849 -7.2785
5.1468 -4.8520 -3.1666
-1.0664 -7.6389 0.4882
Ce Te Ge
6 5 1
Direct
0.2381 0.6034 0.3180
0.2381 0.9213 0.6820
0.7546 0.7651 0.0000
0.7619 0.0787 0.3180
0.2454 0.2349 0.0000
0.7619 0.3966 0.6820
0.0000 0.6649 0.6702
0.5000 0.8261 0.3477
0.0000 0.3351 0.3298
0.5000 0.5000 0.0000
0.5000 0.1739 0.6523
0.0000 0.0000 0.0000
```

Output
ρ: 6.85 g/cm³
Raw formation energy: -15.41 eV per formula unit
Space group: C2/m, No. 12

---

First-principles (PBE) data for an optimized crystal structure of Ce4GeTe2, as listed in the Alexandria database.

Structure (POSCAR):
```
Ce4GeTe2
1.0
4.2364 0.0000 0.0000
0.0000 7.3048 -0.0639
-2.1182 -3.6193 7.3825
Ce Ge Te
4 1 2
Direct
0.1079 0.7706 0.2159
0.3861 0.7195 0.7722
0.8921 0.2294 0.7841
0.6139 0.2805 0.2278
0.0000 0.0000 0.0000
0.2522 0.2459 0.5045
0.7478 0.7541 0.4955
```

Output
ρ: 6.48 g/cm³
Raw formation energy: -5.67 eV per formula unit
Space group: C2/m, No. 12

---

First-principles (PBE) data for an optimized crystal structure of Ce2GeTe5, as listed in the Alexandria database.

Structure (POSCAR):
```
Ce2GeTe5
1.0
4.4687 0.0000 0.0000
0.0000 8.3885 0.0000
0.0000 0.0000 12.5095
Te Ce Ge
10 4 2
Direct
0.5000 0.3049 0.5716
0.0000 0.8495 0.2049
0.5000 0.8049 0.9284
0.0000 0.0000 0.5000
0.0000 0.3495 0.2951
0.0000 0.6505 0.7049
0.5000 0.1951 0.0716
0.0000 0.1505 0.7951
0.0000 0.5000 0.0000
0.5000 0.6951 0.4284
0.5000 0.5700 0.1739
0.5000 0.9300 0.6739
0.5000 0.4300 0.8261
0.5000 0.0700 0.3261
0.0000 0.0000 0.0000
0.0000 0.5000 0.5000
```

Output
ρ: 7.02 g/cm³
Raw formation energy: -7.27 eV per formula unit
Space group: Pbam, No. 55